w:
A geometry-optimized BaSn3Pb structure, computed with PBE.

Values from the calculation:
ρ ... 5.04 g cm⁻³
SG ... Pm-3m (221)
N(E_F) ... 1.819 states/eV per atom
Volume ... 231.0 Å³/f.u.

```
5
Lattice="6.136 0.000 0.000 0.000 6.136 0.000 0.000 0.000 6.136" Properties=species:S:1:pos:R:3 pbc="T T T"
Sn 3.068 0.000 0.000
Sn 0.000 3.068 0.000
Sn 0.000 0.000 3.068
Pb 3.068 3.068 3.068
Ba 0.000 0.000 0.000
```

=====

x:
A geometry-optimized BaSn3Pb structure, computed with PBE.

Values from the calculation:
ρ ... 5.80 g cm⁻³
SG ... Pm-3m (221)
N(E_F) ... 0.956 states/eV per atom
Volume ... 200.5 Å³/f.u.

```
5
Lattice="-4.332 0.501 3.904 1.502 -5.156 2.328 3.638 2.725 3.687" Properties=species:S:1:pos:R:3 pbc="T T T"
Sn -2.166 0.251 1.952
Sn 0.751 -2.578 1.164
Sn 1.819 1.362 1.844
Pb 0.000 0.000 0.000
Ba 0.404 -0.965 4.960
```

=====

Which of them is the most stable? Correct choice: x.

=====

w:
A geometry-optimized BaSn2Pb2 structure, computed with PBE.

Values from the calculation:
ρ ... 7.19 g cm⁻³
SG ... I4/mmm (139)
N(E_F) ... 0.375 states/eV per atom
Volume ... 182.1 Å³/f.u.

```
5
Lattice="-1.204 -4.536 2.675 5.226 -1.368 0.033 2.761 0.047 6.777" Properties=species:S:1:pos:R:3 pbc="T T T"
Pb 2.198 -2.203 2.708
Pb 4.585 -3.654 6.776
Ba 0.000 0.000 0.000
Sn 4.999 -2.136 4.082
Sn 1.784 -3.720 5.403
```

=====

x:
A geometry-optimized BaSn2Pb2 structure, computed with PBE.

Values from the calculation:
ρ ... 7.28 g cm⁻³
SG ... P2_1/m (11)
N(E_F) ... 0.431 states/eV per atom
Volume ... 179.9 Å³/f.u.

```
10
Lattice="-3.867 0.141 3.374 3.539 -2.525 4.161 3.382 10.606 3.433" Properties=species:S:1:pos:R:3 pbc="T T T"
Sn -0.776 3.335 4.830
Sn -0.577 -1.374 5.254
Sn 3.830 4.888 6.138
Sn 3.631 9.596 5.714
Ba 2.326 0.978 4.578
Ba 0.728 7.244 6.391
Pb 5.107 7.328 7.500
Pb -2.053 0.895 3.468
Pb 1.613 4.885 3.597
Pb 1.441 3.337 7.371
```

=====

y:
A geometry-optimized BaSn2Pb2 structure, computed with PBE.

Values from the calculation:
ρ ... 7.33 g cm⁻³
SG ... I4/mmm (139)
N(E_F) ... 0.182 states/eV per atom
Volume ... 178.9 Å³/f.u.

```
5
Lattice="5.113 0.000 0.000 0.000 5.113 0.000 2.556 2.556 6.842" Properties=species:S:1:pos:R:3 pbc="T T T"
Pb 2.556 5.113 3.421
Pb 5.113 2.556 3.421
Sn 2.556 2.556 1.448
Sn 5.113 5.113 5.394
Ba 0.000 0.000 0.000
```

=====

Which of them is the most stable? Correct choice: y.

=====

w:
A geometry-optimized Ba3Sn2Pb3 structure, computed with PBE.

Values from the calculation:
ρ ... 7.03 g cm⁻³
SG ... Cmcm (63)
N(E_F) ... 0.783 states/eV per atom
Volume ... 300.4 Å³/f.u.

```
16
Lattice="-3.316 -2.932 3.071 3.141 -3.770 -4.934 13.095 -3.377 10.918" Properties=species:S:1:pos:R:3 pbc="T T T"
Ba 4.703 -7.266 2.867
Ba 2.089 -3.981 3.180
Ba 11.850 -3.750 9.216
Ba 10.831 -6.098 5.874
Ba 1.070 -6.329 -0.162
Ba 8.217 -2.813 6.188
Pb 13.754 -7.133 8.043
Pb 4.395 -4.804 0.160
Pb -0.834 -2.946 1.012
Pb 4.840 -4.409 5.743
Pb 8.525 -5.276 8.895
Pb 8.080 -5.670 3.312
Sn 2.104 -2.648 -0.256
Sn 10.816 -7.432 9.310
Sn 5.730 -3.582 2.767
Sn 7.190 -6.497 6.288
```

=====

x:
A geometry-optimized Ba3Sn2Pb3 structure, computed with PBE.

Values from the calculation:
ρ ... 7.15 g cm⁻³
SG ... Cmcm (63)
N(E_F) ... 0.275 states/eV per atom
Volume ... 295.1 Å³/f.u.

```
16
Lattice="5.538 0.000 0.000 -2.769 6.460 0.000 0.000 0.000 16.494" Properties=species:S:1:pos:R:3 pbc="T T T"
Pb 2.769 3.224 4.124
Pb 0.000 3.236 12.371
Pb 0.000 0.624 14.968
Pb 2.769 5.837 1.526
Pb 2.769 5.837 6.721
Pb 0.000 0.624 9.774
Ba 2.769 1.923 7.790
Ba 0.000 4.537 8.705
Ba 0.000 4.537 16.037
Ba 0.000 5.943 4.124
Ba 2.769 0.517 12.371
Ba 2.769 1.923 0.458
Sn 0.000 2.193 2.651
Sn 2.769 4.268 10.898
Sn 0.000 2.193 5.596
Sn 2.769 4.268 13.843
```

=====

Which of them is the most stable? Correct choice: w.

=====

w:
A geometry-optimized Ba2Sn2Pb structure, computed with PBE.

Values from the calculation:
ρ ... 6.16 g cm⁻³
SG ... P4/mbm (127)
N(E_F) ... 0.624 states/eV per atom
Volume ... 193.9 Å³/f.u.

```
10
Lattice="-8.780 -5.208 -1.610 -1.284 -0.991 10.206 -1.862 3.117 0.069" Properties=species:S:1:pos:R:3 pbc="T T T"
Ba -1.609 -1.040 3.578
Ba -5.689 -3.404 0.305
Ba -4.375 -2.795 8.292
Ba -8.454 -5.159 5.018
Pb -5.032 -3.100 4.298
Pb 0.000 0.000 0.000
Sn -3.297 0.001 6.611
Sn -8.628 -3.083 2.054
Sn -4.036 -0.323 1.254
Sn -7.889 -2.759 7.411
```

=====

x:
A geometry-optimized Ba2Sn2Pb structure, computed with PBE.

Values from the calculation:
ρ ... 6.33 g cm⁻³
SG ... P4/mbm (127)
N(E_F) ... 0.483 states/eV per atom
Volume ... 188.6 Å³/f.u.

```
10
Lattice="8.418 0.000 0.000 0.000 8.418 0.000 0.000 0.000 5.323" Properties=species:S:1:pos:R:3 pbc="T T T"
Ba 1.478 5.687 2.662
Ba 6.940 2.731 2.662
Ba 5.687 6.940 2.662
Ba 2.731 1.478 2.662
Pb 0.000 0.000 0.000
Pb 4.209 4.209 0.000
Sn 3.171 7.380 0.000
Sn 5.247 1.038 0.000
Sn 1.038 3.171 0.000
Sn 7.380 5.247 0.000
```

=====

Which of them is the most stable? Correct choice: x.

=====

w:
A geometry-optimized Ba2SnPb2 structure, computed with PBE.

Values from the calculation:
ρ ... 6.86 g cm⁻³
SG ... C2/m (12)
N(E_F) ... 0.233 states/eV per atom
Volume ... 195.4 Å³/f.u.

```
10
Lattice="5.195 0.000 0.000 2.597 6.725 -0.059 2.597 0.938 11.179" Properties=species:S:1:pos:R:3 pbc="T T T"
Pb 2.597 0.918 1.310
Pb 7.792 5.286 4.982
Pb 2.597 2.377 6.137
Pb 7.792 6.745 9.810
Ba 5.195 1.830 3.768
Ba 5.195 5.833 7.351
Ba 7.792 2.834 10.155
Ba 2.597 4.829 0.965
Sn 5.195 5.304 3.223
Sn 5.195 2.359 7.896
```

=====

x:
A geometry-optimized Ba2SnPb2 structure, computed with PBE.

Values from the calculation:
ρ ... 5.94 g cm⁻³
SG ... I4/mmm (139)
N(E_F) ... 1.256 states/eV per atom
Volume ... 226.0 Å³/f.u.

```
5
Lattice="-4.352 0.583 3.870 -3.871 0.208 -4.384 -4.759 -6.165 0.003" Properties=species:S:1:pos:R:3 pbc="T T T"
Ba -6.611 -2.594 1.808
Ba -6.371 -2.781 -2.319
Pb -8.733 -4.383 -0.309
Pb -4.248 -0.991 -0.202
Sn 0.000 0.000 0.000
```

=====

y:
A geometry-optimized Ba2SnPb2 structure, computed with PBE.

Values from the calculation:
ρ ... 7.01 g cm⁻³
SG ... P4/mbm (127)
N(E_F) ... 0.558 states/eV per atom
Volume ... 191.5 Å³/f.u.

```
10
Lattice="-7.606 1.762 3.194 2.145 -3.814 7.212 1.882 4.667 1.908" Properties=species:S:1:pos:R:3 pbc="T T T"
Ba -4.651 2.542 5.960
Ba -2.398 0.362 9.070
Ba -1.181 2.253 3.244
Ba 1.072 0.072 6.354
Pb -4.525 0.610 2.973
Pb -0.217 -1.170 3.075
Pb -0.936 -2.662 7.433
Pb -5.244 -0.883 7.331
Sn 0.000 0.000 0.000
Sn -2.731 -1.026 5.203
```

=====

Which of them is the most stable? Correct choice: w.

=====

w:
A geometry-optimized BaSn2Pb6 structure, computed with PBE.

Values from the calculation:
ρ ... 8.87 g cm⁻³
SG ... P4/mmm (123)
N(E_F) ... 0.440 states/eV per atom
Volume ... 303.0 Å³/f.u.

```
9
Lattice="-0.799 3.562 3.367 -2.627 -3.192 2.752 10.238 -3.311 5.932" Properties=species:S:1:pos:R:3 pbc="T T T"
Ba 0.000 0.000 0.000
Sn 7.315 -2.735 8.291
Sn -0.503 -0.206 3.761
Pb 5.119 -1.655 2.966
Pb 6.895 -0.578 5.910
Pb 1.630 -2.548 3.082
Pb 3.406 -1.470 6.026
Pb 2.544 0.829 3.389
Pb 5.981 -3.955 5.603
```

=====

x:
A geometry-optimized BaSn2Pb6 structure, computed with PBE.

Values from the calculation:
ρ ... 8.91 g cm⁻³
SG ... C2/m (12)
N(E_F) ... 0.536 states/eV per atom
Volume ... 301.5 Å³/f.u.

```
9
Lattice="6.739 -1.098 -1.051 0.796 6.883 1.684 0.796 1.984 6.802" Properties=species:S:1:pos:R:3 pbc="T T T"
Ba 6.739 -1.098 -1.051
Pb 2.914 7.274 4.762
Pb 4.165 2.605 5.054
Pb 4.165 5.163 2.381
Pb 5.416 2.692 0.377
Pb 2.914 5.076 7.058
Pb 5.416 0.495 2.673
Sn 1.515 3.479 3.329
Sn 6.815 4.290 4.106
```

=====

Which of them is the most stable? Correct choice: w.